The following is a DFT calculation (PBE with a Hubbard U) of a relaxed structure of ScCoO3.

Calculated values
Total moment: 0.00 μB/f.u.
Density of states at the Fermi level: 0.00 states/eV per atom
DFT total energy: -34.59 eV/cell

a = 3.6232 Å, b = 3.6232 Å, c = 3.6232 Å
α = 90.00°, β = 90.00°, γ = 90.00°
Space group Pm-3m (No. 221)
Asymmetric unit:
Sc1 0.0000 0.0000 0.0000 [1 per cell]
Co1 0.5000 0.5000 0.5000 [1 per cell]
O1 0.0000 0.5000 0.5000 [3 per cell]